[1]
Here is a geometry-optimized Be2TePb structure from Alexandria. Energies are from GGA-PBE.

a = 3.461 Å, b = 3.462 Å, c = 6.802 Å
α = 90.00°, β = 90.00°, γ = 90.00°
Sites, in units of the cell vectors:
Be 0.000 0.000 0.585
Be 0.000 0.000 0.915
Pb 0.500 0.500 0.250
Te 0.500 0.500 0.750

ΔE to the lowest computed polymorph = 484 meV/atom
formation energy from raw total energies = 2.47 eV per formula unit
space group = P4/mmm, No. 123

---

[2]
Here is a geometry-optimized BeTe2Pb structure from Alexandria. Energies are from GGA-PBE.

a = 3.877 Å, b = 3.877 Å, c = 7.961 Å
α = 90.00°, β = 90.00°, γ = 90.00°
Sites, in units of the cell vectors:
Be 0.000 0.000 0.308
Te 0.500 0.500 0.383
Te 0.000 0.000 0.000
Pb 0.500 0.500 0.809

ΔE to the lowest computed polymorph = 282 meV/atom
formation energy from raw total energies = 0.23 eV per formula unit
space group = P4mm, No. 99

---

[3]
Here is a geometry-optimized BeTePb2W structure from Alexandria. Energies are from GGA-PBE.

a = 6.038 Å, b = 4.296 Å, c = 6.038 Å
α = 90.00°, β = 90.00°, γ = 90.00°
Sites, in units of the cell vectors:
Be 0.000 0.500 0.000
Pb 0.500 0.000 0.000
Pb 0.000 0.000 0.500
W 0.500 0.500 0.500
Te 0.000 0.000 0.000

formation energy from raw total energies = 8.52 eV per formula unit
space group = P4/mmm, No. 123

---

[4]
Here is a geometry-optimized BeZnTePb2 structure from Alexandria. Energies are from GGA-PBE.

a = 6.095 Å, b = 5.146 Å, c = 6.095 Å
α = 90.00°, β = 90.00°, γ = 90.00°
Sites, in units of the cell vectors:
Be 0.500 0.500 0.500
Zn 0.000 0.500 0.000
Pb 0.500 0.000 0.000
Pb 0.000 0.000 0.500
Te 0.000 0.000 0.000

formation energy from raw total energies = 4.98 eV per formula unit
space group = P4/mmm, No. 123

---

[5]
Here is a geometry-optimized BeZn2TePb structure from Alexandria. Energies are from GGA-PBE.

a = 5.239 Å, b = 6.219 Å, c = 5.239 Å
α = 90.00°, β = 90.00°, γ = 90.00°
Sites, in units of the cell vectors:
Pb 0.000 0.000 0.000
Te 0.000 0.500 0.000
Zn 0.000 0.000 0.500
Zn 0.500 0.000 0.000
Be 0.500 0.500 0.500

formation energy from raw total energies = 5.00 eV per formula unit
space group = P4/mmm, No. 123

---

[6]
Here is a geometry-optimized Th2BePb structure from Alexandria. Energies are from GGA-PBE.

a = 3.379 Å, b = 3.379 Å, c = 11.996 Å
α = 81.90°, β = 81.90°, γ = 60.00°
Sites, in units of the cell vectors:
Th 0.916 0.916 0.253
Th 0.084 0.084 0.747
Be 0.000 0.000 0.000
Pb 0.500 0.500 0.500

DFT formation energy = 2.7 eV per formula unit
space group = R-3m, No. 166

---

[7]
Here is a geometry-optimized TiBePb2 structure from Alexandria. Energies are from GGA-PBE.

a = 7.449 Å, b = 7.449 Å, c = 6.112 Å
α = 52.46°, β = 52.46°, γ = 90.00°
Sites, in units of the cell vectors:
Ti 0.750 0.250 0.500
Ti 0.000 0.000 0.000
Pb 0.168 0.625 0.250
Pb 0.375 0.418 0.750
Pb 0.582 0.125 0.250
Pb 0.875 0.832 0.750
Be 0.500 0.500 0.000
Be 0.250 0.750 0.500

DFT formation energy = 2.2 eV per formula unit
space group = I-42d, No. 122

---

[8]
Here is a geometry-optimized TiBe3Pb structure from Alexandria. Energies are from GGA-PBE.

a = 4.633 Å, b = 4.633 Å, c = 4.633 Å
α = 90.00°, β = 90.00°, γ = 90.00°
Sites, in units of the cell vectors:
Be 0.000 0.000 0.500
Be 0.500 0.000 0.000
Be 0.000 0.500 0.000
Pb 0.500 0.500 0.500
Ti 0.000 0.000 0.000

DFT formation energy = 6.7 eV per formula unit
ΔE to the lowest computed polymorph = 0 meV/atom
space group = Pm-3m, No. 221

---

[9]
Here is a geometry-optimized Ti3BePb structure from Alexandria. Energies are from GGA-PBE.

a = 5.090 Å, b = 5.090 Å, c = 5.090 Å
α = 90.00°, β = 90.00°, γ = 90.00°
Sites, in units of the cell vectors:
Be 0.500 0.500 0.500
Ti 0.000 0.000 0.500
Ti 0.500 0.000 0.000
Ti 0.000 0.500 0.000
Pb 0.000 0.000 0.000

DFT formation energy = 8.0 eV per formula unit
ΔE to the lowest computed polymorph = 1574 meV/atom
space group = Pm-3m, No. 221

---

[10]
Here is a geometry-optimized TiBePb3 structure from Alexandria. Energies are from GGA-PBE.

a = 5.422 Å, b = 5.422 Å, c = 5.422 Å
α = 90.00°, β = 90.00°, γ = 90.00°
Sites, in units of the cell vectors:
Ti 0.000 0.000 0.000
Pb 0.000 0.500 0.000
Pb 0.500 0.000 0.000
Pb 0.000 0.000 0.500
Be 0.500 0.500 0.500

DFT formation energy = 4.0 eV per formula unit
ΔE to the lowest computed polymorph = 42 meV/atom
space group = Pm-3m, No. 221

---

[11]
Here is a geometry-optimized TiBe3Pb structure from Alexandria. Energies are from GGA-PBE.

a = 4.543 Å, b = 4.543 Å, c = 4.543 Å
α = 90.00°, β = 90.00°, γ = 90.00°
Sites, in units of the cell vectors:
Be 0.000 0.000 0.500
Be 0.500 0.000 0.000
Be 0.000 0.500 0.000
Pb 0.000 0.000 0.000
Ti 0.500 0.500 0.500

DFT formation energy = 7.5 eV per formula unit
ΔE to the lowest computed polymorph = 158 meV/atom
space group = Pm-3m, No. 221

---

[12]
Here is a geometry-optimized Ti2BePb structure from Alexandria. Energies are from GGA-PBE.

a = 4.597 Å, b = 4.597 Å, c = 4.597 Å
α = 60.00°, β = 60.00°, γ = 60.00°
Sites, in units of the cell vectors:
Pb 0.500 0.500 0.500
Ti 0.750 0.750 0.750
Ti 0.250 0.250 0.250
Be 0.000 0.000 0.000

DFT formation energy = 1.1 eV per formula unit
ΔE to the lowest computed polymorph = 0 meV/atom
space group = Fm-3m, No. 225

---

[13]
Here is a geometry-optimized Ti2BePb structure from Alexandria. Energies are from GGA-PBE.

a = 7.229 Å, b = 7.229 Å, c = 5.800 Å
α = 51.45°, β = 51.45°, γ = 90.00°
Sites, in units of the cell vectors:
Be 0.500 0.500 0.000
Be 0.250 0.750 0.500
Pb 0.000 0.000 0.000
Pb 0.750 0.250 0.500
Ti 0.375 0.406 0.750
Ti 0.156 0.625 0.250
Ti 0.875 0.844 0.750
Ti 0.594 0.125 0.250

DFT formation energy = 1.5 eV per formula unit
ΔE to the lowest computed polymorph = 98 meV/atom
space group = I-42d, No. 122

---

[14]
Here is a geometry-optimized Ti3BePb structure from Alexandria. Energies are from GGA-PBE.

a = 4.456 Å, b = 4.456 Å, c = 4.456 Å
α = 90.00°, β = 90.00°, γ = 90.00°
Sites, in units of the cell vectors:
Ti 0.000 0.000 0.500
Ti 0.000 0.500 0.000
Ti 0.500 0.000 0.000
Pb 0.500 0.500 0.500
Be 0.000 0.000 0.000

DFT formation energy = 0.5 eV per formula unit
ΔE to the lowest computed polymorph = 69 meV/atom
space group = Pm-3m, No. 221

---

[15]
Here is a geometry-optimized TiBePb3 structure from Alexandria. Energies are from GGA-PBE.

a = 5.050 Å, b = 5.050 Å, c = 5.050 Å
α = 90.00°, β = 90.00°, γ = 90.00°
Sites, in units of the cell vectors:
Pb 0.000 0.500 0.000
Pb 0.500 0.000 0.000
Pb 0.000 0.000 0.500
Ti 0.500 0.500 0.500
Be 0.000 0.000 0.000

DFT formation energy = 3.8 eV per formula unit
ΔE to the lowest computed polymorph = 0 meV/atom
space group = Pm-3m, No. 221

---

[16]
Here is a geometry-optimized Ti2Be2Pb structure from Alexandria. Energies are from GGA-PBE.

a = 6.303 Å, b = 6.303 Å, c = 3.736 Å
α = 90.00°, β = 90.00°, γ = 90.00°
Sites, in units of the cell vectors:
Be 0.885 0.615 0.000
Be 0.115 0.385 0.000
Be 0.385 0.885 0.000
Be 0.615 0.115 0.000
Pb 0.500 0.500 0.000
Pb 0.000 0.000 0.000
Ti 0.836 0.336 0.500
Ti 0.336 0.164 0.500
Ti 0.164 0.664 0.500
Ti 0.664 0.836 0.500

DFT formation energy = -0.2 eV per formula unit
space group = P4/mbm, No. 127

---

[17]
Here is a geometry-optimized Ti3BePb structure from Alexandria. Energies are from GGA-PBE.

a = 5.059 Å, b = 6.240 Å, c = 6.240 Å
α = 120.00°, β = 90.00°, γ = 90.00°
Sites, in units of the cell vectors:
Pb 0.250 0.333 0.667
Pb 0.750 0.667 0.333
Ti 0.250 0.356 0.178
Ti 0.750 0.644 0.822
Ti 0.250 0.822 0.644
Ti 0.250 0.822 0.178
Ti 0.750 0.178 0.356
Ti 0.750 0.178 0.822
Be 0.000 0.000 0.000
Be 0.500 0.000 0.000

DFT formation energy = 0.1 eV per formula unit
ΔE to the lowest computed polymorph = 0 meV/atom
space group = P6_3/mmc, No. 194

---

[18]
Here is a geometry-optimized TiBePb2W structure from Alexandria. Energies are from GGA-PBE.

a = 5.308 Å, b = 4.398 Å, c = 5.308 Å
α = 90.00°, β = 90.00°, γ = 90.00°
Sites, in units of the cell vectors:
Pb 0.500 0.000 0.000
Pb 0.000 0.000 0.500
W 0.000 0.000 0.000
Be 0.000 0.500 0.000
Ti 0.500 0.500 0.500

DFT formation energy = 6.4 eV per formula unit
space group = P4/mmm, No. 123

---

[19]
Here is a geometry-optimized BeTlPb structure from Alexandria. Energies are from GGA-PBE.

a = 12.438 Å, b = 3.806 Å, c = 6.497 Å
α = 90.00°, β = 99.80°, γ = 90.00°
Sites, in units of the cell vectors:
Tl 0.406 0.500 0.969
Tl 0.628 0.500 0.732
Tl 0.628 0.000 0.232
Tl 0.406 0.000 0.469
Pb 0.164 0.500 0.544
Pb 0.871 0.500 0.454
Pb 0.164 0.000 0.044
Pb 0.871 0.000 0.954
Be 0.018 0.000 0.331
Be 0.018 0.500 0.167
Be 0.018 0.000 0.667
Be 0.018 0.500 0.831

DFT formation energy = 0.7 eV per formula unit
ΔE to the lowest computed polymorph = 4 meV/atom
space group = Cm, No. 8

---

[20]
Here is a geometry-optimized BeTlPb2 structure from Alexandria. Energies are from GGA-PBE.

a = 5.506 Å, b = 5.506 Å, c = 3.541 Å
α = 90.00°, β = 90.00°, γ = 97.20°
Sites, in units of the cell vectors:
Tl 0.500 0.000 0.500
Pb 0.000 0.000 0.000
Pb 0.500 0.500 0.000
Be 0.000 0.500 0.500

DFT formation energy = 2.1 eV per formula unit
ΔE to the lowest computed polymorph = 207 meV/atom
space group = Cmmm, No. 65